1.
! LaHoAg, relaxed, DFT PBE-GGA; values from VASP
! formation enthalpy at 0 K	524.9	meV per atom
&SYSTEM
  ibrav = 0, nat = 3, ntyp = 3
/
ATOMIC_SPECIES
La 138.91 La.upf
Ho 164.93 Ho.upf
Ag 107.87 Ag.upf
ATOMIC_POSITIONS crystal
La 0.000 0.000 0.000
Ho 0.250 0.250 0.250
Ag 0.750 0.750 0.750
CELL_PARAMETERS angstrom
0.000 3.566 3.566
3.566 0.000 3.566
3.566 3.566 0.000



2.
! La2Ho2Ag, relaxed, DFT PBE-GGA; values from VASP
! formation enthalpy at 0 K	254.6	meV per atom
&SYSTEM
  ibrav = 0, nat = 10, ntyp = 3
/
ATOMIC_SPECIES
La 138.91 La.upf
Ho 164.93 Ho.upf
Ag 107.87 Ag.upf
ATOMIC_POSITIONS crystal
La 0.171 0.829 0.584
La 0.171 0.829 0.916
La 0.829 0.171 0.084
La 0.829 0.171 0.416
Ho 0.473 0.527 0.131
Ho 0.473 0.527 0.369
Ho 0.527 0.473 0.631
Ho 0.527 0.473 0.869
Ag 0.142 0.858 0.250
Ag 0.858 0.142 0.750
CELL_PARAMETERS angstrom
2.878 -4.327 0.000
2.878 4.327 0.000
0.000 0.000 12.044



3.
! LaHoAg2Sb4, relaxed, DFT PBE-GGA; values from VASP
! electronic total energy	-4.6275	eV per atom
&SYSTEM
  ibrav = 0, nat = 8, ntyp = 4
/
ATOMIC_SPECIES
La 138.91 La.upf
Ho 164.93 Ho.upf
Ag 107.87 Ag.upf
Sb 121.76 Sb.upf
ATOMIC_POSITIONS crystal
La 0.000 0.000 0.000
Ho 0.500 0.500 0.476
Ag 0.000 0.500 0.729
Ag 0.500 0.000 0.729
Sb 0.000 0.000 0.550
Sb 0.000 0.500 0.245
Sb 0.500 0.000 0.245
Sb 0.500 0.500 0.909
CELL_PARAMETERS angstrom
4.389 0.000 0.000
0.000 4.389 0.000
0.000 0.000 10.620



4.
! LaHoAg2Sn2, relaxed, DFT PBE-GGA; values from VASP
! electronic total energy	-4.4808	eV per atom
&SYSTEM
  ibrav = 0, nat = 6, ntyp = 4
/
ATOMIC_SPECIES
La 138.91 La.upf
Ho 164.93 Ho.upf
Ag 107.87 Ag.upf
Sn 118.71 Sn.upf
ATOMIC_POSITIONS crystal
La 0.000 0.000 0.000
Ho 0.000 0.000 0.502
Ag 0.333 0.667 0.683
Ag 0.667 0.333 0.225
Sn 0.333 0.667 0.288
Sn 0.667 0.333 0.771
CELL_PARAMETERS angstrom
4.773 0.000 0.000
-2.387 4.134 0.000
0.000 0.000 7.581



5.
! LiHoAg, relaxed, DFT PBE-GGA; values from VASP
! electronic total energy	-2.7359	eV per atom
&SYSTEM
  ibrav = 0, nat = 3, ntyp = 3
/
ATOMIC_SPECIES
Li 6.94 Li.upf
Ho 164.93 Ho.upf
Ag 107.87 Ag.upf
ATOMIC_POSITIONS crystal
Li 0.000 0.000 0.000
Ho 0.750 0.750 0.750
Ag 0.500 0.500 0.500
CELL_PARAMETERS angstrom
0.000 3.383 3.383
3.383 0.000 3.383
3.383 3.383 0.000



6.
! HoLuAg4, relaxed, DFT PBE-GGA; values from VASP
! formation enthalpy at 0 K	-341.9	meV per atom
&SYSTEM
  ibrav = 0, nat = 6, ntyp = 3
/
ATOMIC_SPECIES
Ho 164.93 Ho.upf
Lu 174.97 Lu.upf
Ag 107.87 Ag.upf
ATOMIC_POSITIONS crystal
Ho 0.000 0.000 0.000
Lu 0.500 0.500 0.500
Ag 0.000 0.000 0.334
Ag 0.000 0.000 0.666
Ag 0.500 0.500 0.172
Ag 0.500 0.500 0.828
CELL_PARAMETERS angstrom
3.686 0.000 0.000
0.000 3.686 0.000
0.000 0.000 9.187



7.
! HoLuAg, relaxed, DFT PBE-GGA; values from VASP
! formation enthalpy at 0 K	578.4	meV per atom
! distance to the lowest polymorph of the same formula	0.00	kcal/mol of atoms
&SYSTEM
  ibrav = 0, nat = 3, ntyp = 3
/
ATOMIC_SPECIES
Ho 164.93 Ho.upf
Lu 174.97 Lu.upf
Ag 107.87 Ag.upf
ATOMIC_POSITIONS crystal
Ho 0.000 0.000 0.000
Lu 0.750 0.750 0.750
Ag 0.500 0.500 0.500
CELL_PARAMETERS angstrom
0.000 3.429 3.429
3.429 0.000 3.429
3.429 3.429 0.000



8.
! HoLu2Si4Ag4, relaxed, DFT PBE-GGA; values from VASP
! electronic total energy	-4.7063	eV per atom
&SYSTEM
  ibrav = 0, nat = 11, ntyp = 4
/
ATOMIC_SPECIES
Ho 164.93 Ho.upf
Lu 174.97 Lu.upf
Si 28.09 Si.upf
Ag 107.87 Ag.upf
ATOMIC_POSITIONS crystal
Ho 0.000 0.000 0.000
Lu 0.376 0.876 0.500
Lu 0.624 0.124 0.500
Si 0.217 0.217 0.000
Si 0.324 0.500 0.824
Si 0.676 0.500 0.176
Si 0.783 0.783 0.000
Ag 0.031 0.331 0.700
Ag 0.369 0.669 0.700
Ag 0.631 0.331 0.300
Ag 0.969 0.669 0.300
CELL_PARAMETERS angstrom
-2.099 3.486 7.011
2.099 -3.486 7.011
2.099 3.486 -7.011